## TiHgPCl2 (PBE)

Data for TiHgPCl2 after structural relaxation.

a b c (Å): 5.0844 5.0844 5.1616
angles (deg): 90.00 90.00 90.00
Space group P4/mmm (No. 123)
Unique sites:
Ti  0.0000  0.0000  0.0000 [1 per cell]
Hg  0.5000  0.5000  0.5000 [1 per cell]
P  0.5000  0.5000  0.0000 [1 per cell]
Cl  0.0000  0.5000  0.5000 [2 per cell]

Calculated values
- energy above the lowest structure with this stoichiometry (eV per atom) = 1.217
- magnetic moment (μB/atom) = 0.07
- density of states at the Fermi level (states/eV per cell) = 9.147
- ΔE_f (raw) (eV/atom) = 0.68
- E_tot (eV per atom) = -2.78

=====

## TiHg6P4Cl7 (PBE)

Data for TiHg6P4Cl7 after structural relaxation.

a b c (Å): 12.0230 12.0230 12.0230
angles (deg): 90.00 90.00 90.00
Space group Pa-3 (No. 205)
Unique sites:
Ti  0.0000  0.0000  0.0000 [4 per cell]
Hg  0.0402  0.1933  0.6991 [24 per cell]
P  0.1612  0.6612  0.8388 [8 per cell]
P  0.2314  0.2314  0.2314 [8 per cell]
Cl  0.0000  0.0000  0.5000 [4 per cell]
Cl  0.0378  0.5435  0.3080 [24 per cell]

Calculated values
- magnetic moment (μB/atom) = 0.06
- density of states at the Fermi level (states/eV per cell) = 26.922
- ΔE_f (raw) (eV/atom) = -0.60
- E_tot (eV per atom) = -3.06

=====

## TlHgPCl2 (PBE)

Data for TlHgPCl2 after structural relaxation.

a b c (Å): 5.6908 5.6908 4.9421
angles (deg): 90.00 90.00 90.00
Space group P4/mmm (No. 123)
Unique sites:
Tl  0.0000  0.0000  0.0000 [1 per cell]
Hg  0.5000  0.5000  0.5000 [1 per cell]
P  0.5000  0.5000  0.0000 [1 per cell]
Cl  0.0000  0.5000  0.5000 [2 per cell]

Calculated values
- energy above the lowest structure with this stoichiometry (eV per atom) = 0.000
- magnetic moment (μB/atom) = 0.40
- density of states at the Fermi level (states/eV per cell) = 1.093
- ΔE_f (raw) (eV/atom) = -0.03
- E_tot (eV per atom) = -2.38

=====

## TlHgPCl2 (PBE)

Data for TlHgPCl2 after structural relaxation.

a b c (Å): 5.4191 5.4191 5.4289
angles (deg): 90.00 90.00 90.00
Space group P4/mmm (No. 123)
Unique sites:
Tl  0.0000  0.0000  0.0000 [1 per cell]
Hg  0.5000  0.5000  0.5000 [1 per cell]
P  0.0000  0.0000  0.5000 [1 per cell]
Cl  0.0000  0.5000  0.0000 [2 per cell]

Calculated values
- energy above the lowest structure with this stoichiometry (eV per atom) = 0.198
- magnetic moment (μB/atom) = 0.36
- density of states at the Fermi level (states/eV per cell) = 1.712
- ΔE_f (raw) (eV/atom) = 0.17
- E_tot (eV per atom) = -2.18